A plane-wave DFT calculation with PBE with a Hubbard U was carried out for an optimized crystal structure of CoSi2O.

Cell lengths 5.651, 5.651, 5.651 Å; angles 90.00, 90.00, 90.00 degrees
Space group Fm-3m (No. 225)
Asymmetric unit:
Co (0.000, 0.000, 0.000) [4 per cell]
Si (0.250, 0.250, 0.250) [8 per cell]
O (0.000, 0.000, 0.500) [4 per cell]

The volume comes out at 11.3 A^3/atom. As for the uncorrected energy: -4.7301 eV per atom. As for the crystal system: cubic. The value obtained for the density of states at the Fermi level is 7.06 states/eV/cell.